Entry from Alexandria via LeMat-Bulk: a relaxed structure of Gd2MgAs (GGA-PBE).

a = 8.7316 Å, b = 8.7316 Å, c = 8.7316 Å
α = 26.32°, β = 26.32°, γ = 26.32°
With the nearest neighbours (Å) after each atom.
Sites, in units of the cell vectors:
Gd  0.2340  0.2340  0.2340  3 As 2.86
Gd  0.7660  0.7660  0.7660  3 As 2.86
Mg  0.0000  0.0000  0.0000  6 Gd 3.40
As  0.5000  0.5000  0.5000  6 Gd 2.86

## Properties
E_form: -0.6702 eV per atom